Entry 1:
This record from Alexandria describes crystalline Hf8CS2 at its relaxed geometry. The functional is PBE.

Cell: 15.4743 3.2933 8.1198 Å, 90.00 95.04 90.00°
Space group C2/m (No. 12)
Inequivalent atoms, fractional coordinates:
Hf1 0.0139 0.0000 0.1971 [4 per cell]
Hf2 0.0924 0.5000 0.5140 [4 per cell]
Hf3 0.1486 0.5000 0.0048 [4 per cell]
Hf4 0.2166 0.0000 0.3187 [4 per cell]
C1 0.0000 0.5000 0.0000 [2 per cell]
S1 0.1541 0.0000 0.7526 [4 per cell]

Calculated values
For the offset from the most stable computed form, the calculation gives 0.0 meV per atom. The total DFT energy (no corrections) is -209.13 eV per cell. The calculated density is 12.12 Mg/m³. The uncorrected formation energy is -0.68 eV per atom. The calculation puts the density of states at the Fermi level at 17.18 states/eV per cell.

Entry 2:
This record from Alexandria describes crystalline Li2TcNi at its relaxed geometry. The functional is PBE.

Cell: 4.1303 4.1303 5.8245 Å, 90.00 90.00 90.00°
Space group I-4m2 (No. 119)
Inequivalent atoms, fractional coordinates:
Li1 0.0000 0.0000 0.0000 [2 per cell]
Li2 0.0000 0.5000 0.2500 [2 per cell]
Tc1 0.0000 0.5000 0.7500 [2 per cell]
Ni1 0.0000 0.0000 0.5000 [2 per cell]

Calculated values
For the offset from the most stable computed form, the calculation gives 224.5 meV per atom. The energy relative to the elements is 0.310 eV/atom. The total DFT energy (no corrections) is -37.47 eV per cell. The calculated density is 5.70 Mg/m³. The calculation puts the density of states at the Fermi level at 12.46 states/eV per cell.

Entry 3:
This record from Alexandria describes crystalline Ca2MnSb at its relaxed geometry. The functional is PBE.

Cell: 4.9491 4.9491 4.3610 Å, 90.00 90.00 90.00°
Space group P4/mmm (No. 123)
Inequivalent atoms, fractional coordinates:
Ca1 0.0000 0.5000 0.0000 [2 per cell]
Mn1 0.0000 0.0000 0.5000 [1 per cell]
Sb1 0.5000 0.5000 0.5000 [1 per cell]

Calculated values
The total DFT energy (no corrections) is -18.20 eV per cell. The calculated density is 3.99 Mg/m³. The uncorrected formation energy is -0.23 eV per atom. The calculation puts the density of states at the Fermi level at 3.48 states/eV per cell.

Entry 4:
This record from Alexandria describes crystalline PrEuZnIr at its relaxed geometry. The functional is PBE.

Cell: 7.2180 7.2180 7.2180 Å, 90.00 90.00 90.00°
Space group F-43m (No. 216)
Inequivalent atoms, fractional coordinates:
Pr1 0.0000 0.0000 0.0000 [4 per cell]
Eu1 0.0000 0.0000 0.5000 [4 per cell]
Zn1 0.2500 0.2500 0.2500 [4 per cell]
Ir1 0.2500 0.2500 0.7500 [4 per cell]

Calculated values
The energy relative to the elements is -0.368 eV/atom. The total DFT energy (no corrections) is -106.65 eV per cell. The calculated density is 9.72 Mg/m³. The calculation puts the density of states at the Fermi level at 19.55 states/eV per cell.

Entry 5:
This record from Alexandria describes crystalline Sb2AsPt at its relaxed geometry. The functional is PBE.

Cell: 6.2176 6.2176 12.1715 Å, 90.00 90.00 90.00°
Space group I-42d (No. 122)
Inequivalent atoms, fractional coordinates:
Sb1 0.2249 0.2500 0.1250 [8 per cell]
As1 0.0000 0.0000 0.5000 [4 per cell]
Pt1 0.0000 0.0000 0.0000 [4 per cell]

Calculated values
The total DFT energy (no corrections) is -76.99 eV per cell. The calculated density is 7.25 Mg/m³. The uncorrected formation energy is -0.08 eV per atom. The calculation puts the density of states at the Fermi level at 8.55 states/eV per cell.

Entry 6:
This record from Alexandria describes crystalline LaZr2P at its relaxed geometry. The functional is PBE.

Cell: 3.4854 4.0109 14.4224 Å, 90.00 90.00 90.00°
Space group Imm2 (No. 44)
Inequivalent atoms, fractional coordinates:
La1 0.0000 0.0000 0.0000 [2 per cell]
Zr1 0.0000 0.0000 0.6574 [2 per cell]
Zr2 0.0000 0.5000 0.8099 [2 per cell]
P1 0.0000 0.5000 0.3077 [2 per cell]

Calculated values
The energy relative to the elements is -0.381 eV/atom. The total DFT energy (no corrections) is -57.92 eV per cell. The calculated density is 5.80 Mg/m³. The calculation puts the density of states at the Fermi level at 9.86 states/eV per cell.

Entry 7:
This record from Alexandria describes crystalline Tb3BiH at its relaxed geometry. The functional is PBE.

Cell: 6.6233 3.9964 9.6165 Å, 90.00 101.13 90.00°
Space group P2_1/m (No. 11)
Inequivalent atoms, fractional coordinates:
Tb1 0.0929 0.2500 0.3555 [2 per cell]
Tb2 0.2628 0.7500 0.0934 [2 per cell]
Tb3 0.4064 0.7500 0.6197 [2 per cell]
Bi1 0.2236 0.2500 0.8372 [2 per cell]
H1 0.3244 0.7500 0.3537 [2 per cell]

Calculated values
The total DFT energy (no corrections) is -46.68 eV per cell. The calculated density is 9.13 Mg/m³. The calculation puts the density of states at the Fermi level at 8.51 states/eV per cell.

Entry 8:
This record from Alexandria describes crystalline BaB2Te at its relaxed geometry. The functional is PBE.

Cell: 7.0146 7.0146 7.0146 Å, 90.00 90.00 90.00°
Space group Fm-3m (No. 225)
Inequivalent atoms, fractional coordinates:
Ba1 0.0000 0.0000 0.0000 [4 per cell]
B1 0.2500 0.2500 0.2500 [8 per cell]
Te1 0.0000 0.0000 0.5000 [4 per cell]

Calculated values
For the offset from the most stable computed form, the calculation gives 297.8 meV per atom. The total DFT energy (no corrections) is -54.54 eV per cell. The calculated density is 5.51 Mg/m³. The uncorrected formation energy is 1.20 eV per atom. The calculation puts the density of states at the Fermi level at 15.51 states/eV per cell.

Total moment, respectively: 0.00, 1.27, 4.47, 6.93, 0.00, 0.00, 0.00, 0.00 μB/f.u..